*1*
# Ho3InHg3

Crystalline Ho3InHg3 at its relaxed geometry (PBE, the Alexandria database).

Its space-group type is P6_3/m.

a = 5.0797 Å, b = 9.1009 Å, c = 9.1009 Å
α = 120.00°, β = 90.00°, γ = 90.00°
Last column: nearest neighbours and their distance in Å.
Positions (direct):
Hg 0.7500 0.0385 0.7987  4 Ho 3.04-3.35, 4 Hg 3.25
Hg 0.2500 0.9615 0.2013  4 Ho 3.04-3.35, 4 Hg 3.25
Ho 0.2500 0.3451 0.4473  4 Hg 3.04-3.35, 2 In 3.27
In 0.2500 0.6667 0.3333  9 Ho 3.27-3.56, 3 Hg 3.45
Hg 0.2500 0.2397 0.0385  4 Ho 3.04-3.35, 4 Hg 3.25
Ho 0.7500 0.4473 0.1022  4 Hg 3.04-3.35, 2 In 3.27
Hg 0.7500 0.7603 0.9615  4 Ho 3.04-3.35, 4 Hg 3.25
Ho 0.7500 0.6549 0.5527  4 Hg 3.04-3.35, 2 In 3.27
Ho 0.2500 0.1022 0.6549  4 Hg 3.04-3.35, 2 In 3.27
In 0.7500 0.3333 0.6667  9 Ho 3.27-3.56, 3 Hg 3.45
Ho 0.7500 0.8978 0.3451  4 Hg 3.04-3.35, 2 In 3.27
Hg 0.2500 0.7987 0.7603  4 Ho 3.04-3.35, 4 Hg 3.25
Ho 0.2500 0.5527 0.8978  4 Hg 3.04-3.35, 2 In 3.27
Hg 0.7500 0.2013 0.2397  4 Ho 3.04-3.35, 4 Hg 3.25

*2*
# Ho3InHg3

Crystalline Ho3InHg3 at its relaxed geometry (PBE, the Alexandria database).

Its space-group type is C2/m.

a = 7.1390 Å, b = 7.1390 Å, c = 7.3345 Å
α = 90.06°, β = 90.06°, γ = 90.43°
Last column: nearest neighbours and their distance in Å.
Positions (direct):
Hg 0.2449 0.7551 0.0000  2 In 3.06, 6 Ho 3.12-3.18
Ho 0.5445 0.9603 0.7483  6 Hg 3.11-3.39, 2 In 3.18-3.43
Hg 0.2448 0.7552 0.5000  6 Ho 3.11-3.16, 2 Hg 3.15
Ho 0.9453 0.9453 0.2458  5 Hg 3.12-3.15, 1 In 3.22
In 0.6600 0.6600 0.0471  3 Hg 3.00-3.06, 3 Ho 3.18-3.22, 1 In 3.29
In 0.3400 0.3400 0.9529  3 Hg 3.00-3.06, 3 Ho 3.18-3.22, 1 In 3.29
Hg 0.7552 0.2448 0.5000  6 Ho 3.11-3.16, 2 Hg 3.15
Ho 0.0547 0.0547 0.7542  5 Hg 3.12-3.15, 1 In 3.22
Hg 0.3243 0.3243 0.5449  1 In 3.00, 3 Ho 3.11-3.12, 2 Hg 3.15
Ho 0.4555 0.0397 0.2517  6 Hg 3.11-3.39, 2 In 3.18-3.43
Ho 0.0397 0.4555 0.2517  6 Hg 3.11-3.39, 2 In 3.18-3.43
Hg 0.6757 0.6757 0.4551  1 In 3.00, 3 Ho 3.11-3.12, 2 Hg 3.15
Hg 0.7551 0.2449 0.0000  2 In 3.06, 6 Ho 3.12-3.18
Ho 0.9603 0.5445 0.7483  6 Hg 3.11-3.39, 2 In 3.18-3.43

*1* comes first in stability; the runner-up is 9 meV/atom higher.

*1*
# Ho2InHg3

Crystalline Ho2InHg3 at its relaxed geometry (PBE, the Alexandria database).

Its space-group type is Imm2.

a = 3.6490 Å, b = 4.6008 Å, c = 9.9166 Å
α = 103.41°, β = 100.60°, γ = 90.00°
Last column: nearest neighbours and their distance in Å.
Positions (direct):
Ho 0.8826 0.3826 0.7653  6 Hg 3.26-3.52, 4 In 3.28, 2 Ho 3.65
Hg 0.3080 0.8080 0.6161  2 Hg 2.84, 1 In 2.87
Hg 0.6932 0.6932 0.3863  3 Hg 2.84-2.88
Ho 0.1152 0.1152 0.2305  8 Hg 3.25-3.29, 2 In 3.47
Hg 0.5413 0.5413 0.0826  2 In 2.77, 1 Hg 2.88
In 0.4597 0.9597 0.9193  3 Hg 2.77-2.87

*2*
# Ho2InHg3

Crystalline Ho2InHg3 at its relaxed geometry (PBE, the Alexandria database).

Its space-group type is Fmmm.

a = 6.0477 Å, b = 6.0477 Å, c = 9.2147 Å
α = 102.37°, β = 102.37°, γ = 110.32°
Last column: nearest neighbours and their distance in Å.
Positions (direct):
Hg 0.8318 0.3351 0.1669  1 In 2.85, 2 Hg 2.85-2.87
Ho 0.7500 0.2500 0.5000  8 Hg 3.33-3.34, 4 In 3.34, 2 Ho 3.45
In 0.3328 0.3328 0.6657  3 Hg 2.84-2.85
Ho 0.2500 0.7500 0.5000  8 Hg 3.33-3.34, 4 In 3.34, 2 Ho 3.45
In 0.6672 0.6672 0.3343  3 Hg 2.84-2.85
Ho 0.2465 0.2465 0.0000  10 Hg 3.31-3.34, 2 In 3.35, 2 Ho 3.41-3.50
Hg 0.1664 0.1664 0.3329  1 In 2.84, 2 Hg 2.87
Hg 0.8336 0.8336 0.6671  1 In 2.84, 2 Hg 2.87
Hg 0.3351 0.8318 0.1669  1 In 2.85, 2 Hg 2.85-2.87
Hg 0.1682 0.6649 0.8331  1 In 2.85, 2 Hg 2.85-2.87
Hg 0.6649 0.1682 0.8331  1 In 2.85, 2 Hg 2.85-2.87
Ho 0.7535 0.7535 0.0000  10 Hg 3.31-3.34, 2 In 3.35, 2 Ho 3.41-3.50

*2* comes first in stability; the runner-up is 161 meV/atom higher.

*1*
# Ho4InHg2

Crystalline Ho4InHg2 at its relaxed geometry (PBE, the Alexandria database).

Its space-group type is R-3m.

a = 5.1857 Å, b = 5.1857 Å, c = 8.8834 Å
α = 73.03°, β = 73.03°, γ = 60.00°
Last column: nearest neighbours and their distance in Å.
Positions (direct):
In 0.0000 0.0000 0.0000  8 Ho 3.24-3.25, 6 Hg 3.63
Hg 0.7483 0.7483 0.7551  8 Ho 3.06-3.30
Ho 0.8704 0.8704 0.3888  4 Hg 3.06-3.23, 1 In 3.25
Ho 0.3830 0.3830 0.8509  4 Hg 3.10-3.30, 3 In 3.24
Ho 0.1296 0.1296 0.6112  4 Hg 3.06-3.23, 1 In 3.25
Ho 0.6170 0.6170 0.1491  4 Hg 3.10-3.30, 3 In 3.24
Hg 0.2517 0.2517 0.2449  8 Ho 3.06-3.30

*2*
# Ho4InHg2

Crystalline Ho4InHg2 at its relaxed geometry (PBE, the Alexandria database).

Its space-group type is R-3m.

a = 5.0202 Å, b = 5.0202 Å, c = 10.0470 Å
α = 75.53°, β = 75.53°, γ = 60.00°
Last column: nearest neighbours and their distance in Å.
Positions (direct):
Ho 0.3791 0.3791 0.8627  3 In 3.19, 3 Hg 3.30
Hg 0.8993 0.8993 0.3020  1 In 2.91, 4 Ho 2.98-3.02
Ho 0.6209 0.6209 0.1373  3 In 3.19, 3 Hg 3.30
In 0.0000 0.0000 0.0000  2 Hg 2.91, 6 Ho 3.19
Ho 0.2038 0.2038 0.3886  4 Hg 2.98-3.02
Ho 0.7962 0.7962 0.6114  4 Hg 2.98-3.02
Hg 0.1007 0.1007 0.6980  1 In 2.91, 4 Ho 2.98-3.02

*1* comes first in stability; the runner-up is 128 meV/atom higher.

*1*
# Ho2In2Hg

Crystalline Ho2In2Hg at its relaxed geometry (PBE, the Alexandria database).

Its space-group type is C2/m.

a = 4.7100 Å, b = 6.1092 Å, c = 10.1822 Å
α = 90.13°, β = 76.63°, γ = 67.33°
Last column: nearest neighbours and their distance in Å.
Positions (direct):
Ho 0.9226 0.2520 0.9027  6 In 3.14-3.44, 2 Hg 3.24
Hg 0.5954 0.1266 0.6826  4 In 2.83-3.10
In 0.3471 0.1943 0.1115  1 Hg 2.86, 1 In 2.95, 5 Ho 3.14-3.18
In 0.0855 0.2724 0.5565  3 Hg 2.83-3.10, 1 In 2.90
In 0.9145 0.7276 0.4435  3 Hg 2.83-3.10, 1 In 2.90
Hg 0.4046 0.8734 0.3174  4 In 2.83-3.10
Ho 0.0774 0.7480 0.0973  6 In 3.14-3.44, 2 Hg 3.24
Ho 0.6835 0.3083 0.3247  6 In 3.18-3.46, 3 Hg 3.19-3.39
In 0.6529 0.8057 0.8885  1 Hg 2.86, 1 In 2.95, 5 Ho 3.14-3.18
Ho 0.3165 0.6917 0.6753  6 In 3.18-3.46, 3 Hg 3.19-3.39

*2*
# Ho2In2Hg

Crystalline Ho2In2Hg at its relaxed geometry (PBE, the Alexandria database).

Its space-group type is P4/mbm.

a = 3.7021 Å, b = 8.7410 Å, c = 8.7404 Å
α = 90.00°, β = 90.00°, γ = 90.00°
Last column: nearest neighbours and their distance in Å.
Positions (direct):
Ho 0.0000 0.8198 0.6802  6 In 3.09-3.25, 2 Hg 3.21
In 0.5000 0.3802 0.1198  1 In 2.96, 6 Ho 3.09-3.25
In 0.5000 0.6198 0.8802  1 In 2.96, 6 Ho 3.09-3.25
Hg 0.0000 0.5000 0.5000  4 Ho 3.21
Ho 0.0000 0.6802 0.1802  6 In 3.09-3.25, 2 Hg 3.21
Ho 0.0000 0.3198 0.8198  6 In 3.09-3.25, 2 Hg 3.21
Hg 0.0000 0.0000 0.0000  4 Ho 3.21
In 0.5000 0.8802 0.3802  1 In 2.96, 6 Ho 3.09-3.25
In 0.5000 0.1198 0.6198  1 In 2.96, 6 Ho 3.09-3.25
Ho 0.0000 0.1802 0.3198  6 In 3.09-3.25, 2 Hg 3.21

*1* comes first in stability; the runner-up is 148 meV/atom higher.